[1]
Entry from the Alexandria database: an optimized crystal structure of BaFe2HPb (PBE-GGA).

Spin magnetization in μB per formula unit: 4.94
DOS(E_F) in states/eV per cell: 3.7
Calculated total energy in eV/atom: -4.292

a = 4.4955 Å, b = 4.5607 Å, c = 4.4955 Å
α = 90.00°, β = 90.00°, γ = 90.00°
With the nearest neighbours (Å) after each atom.
Atoms (fractional coordinates):
Fe 0.0000 0.0000 0.5000  2 H 2.25
Pb 0.0000 0.5000 0.0000  2 H 2.28
H 0.0000 0.0000 0.0000  4 Fe 2.25, 2 Pb 2.28
Fe 0.5000 0.0000 0.0000  2 H 2.25
Ba 0.5000 0.5000 0.5000  4 Pb 3.18, 8 Fe 3.20

---

[2]
Entry from the Alexandria database: an optimized crystal structure of BaFe2HRu (PBE-GGA).

Spin magnetization in μB per formula unit: 5.69
DOS(E_F) in states/eV per cell: 4.7
Calculated total energy in eV/atom: -5.478

a = 4.6677 Å, b = 3.5264 Å, c = 4.6677 Å
α = 90.00°, β = 90.00°, γ = 90.00°
With the nearest neighbours (Å) after each atom.
Atoms (fractional coordinates):
Ba 0.5000 0.5000 0.5000  8 Fe 2.92
Fe 0.5000 0.0000 0.0000  2 H 2.33
H 0.0000 0.0000 0.0000  2 Ru 1.76
Fe 0.0000 0.0000 0.5000  2 H 2.33
Ru 0.0000 0.5000 0.0000  2 H 1.76

---

[3]
Entry from the Alexandria database: an optimized crystal structure of BaFe2HS (PBE-GGA).

Spin magnetization in μB per formula unit: 6.28
DOS(E_F) in states/eV per cell: 3.5
Calculated total energy in eV/atom: -4.990

a = 4.0621 Å, b = 6.3466 Å, c = 4.0621 Å
α = 90.00°, β = 90.00°, γ = 90.00°
With the nearest neighbours (Å) after each atom.
Atoms (fractional coordinates):
Fe 0.5000 0.0000 0.0000  2 H 2.03
S 0.0000 0.5000 0.0000  4 Ba 2.87, 2 H 3.17
Ba 0.5000 0.5000 0.5000  4 S 2.87
H 0.0000 0.0000 0.0000  4 Fe 2.03
Fe 0.0000 0.0000 0.5000  2 H 2.03

---

[4]
Entry from the Alexandria database: an optimized crystal structure of Ba2FeSb2H4 (PBE-GGA).

Spin magnetization in μB per formula unit: 1.69
DOS(E_F) in states/eV per cell: 5.9
Calculated total energy in eV/atom: -3.951

a = 6.2544 Å, b = 6.2544 Å, c = 6.2544 Å
α = 99.82°, β = 114.50°, γ = 114.50°
With the nearest neighbours (Å) after each atom.
Atoms (fractional coordinates):
Ba 0.5000 0.2500 0.7500  8 H 3.22, 4 Sb 3.44
Fe 0.0000 0.0000 0.0000  4 H 1.63
H 0.6603 0.8302 0.8302  1 Fe 1.63
Ba 0.5000 0.7500 0.2500  8 H 3.22, 4 Sb 3.44
H 0.0000 0.8302 0.1698  1 Fe 1.63
H 0.0000 0.1698 0.8302  1 Fe 1.63
H 0.3397 0.1698 0.1698  1 Fe 1.63
Sb 0.0000 0.3246 0.3246  1 Fe 2.61, 1 Sb 2.83
Sb 0.0000 0.6754 0.6754  1 Fe 2.61, 1 Sb 2.83

---

[5]
Entry from the Alexandria database: an optimized crystal structure of Ba2FeSiH (PBE-GGA).

Spin magnetization in μB per formula unit: 2.29
DOS(E_F) in states/eV per cell: 6.9
Calculated total energy in eV/atom: -3.916

a = 6.3054 Å, b = 4.3726 Å, c = 6.3054 Å
α = 90.00°, β = 90.00°, γ = 90.00°
With the nearest neighbours (Å) after each atom.
Atoms (fractional coordinates):
H 0.5000 0.5000 0.5000  8 Ba 3.84
Fe 0.0000 0.5000 0.0000  2 Si 2.19
Ba 0.5000 0.0000 0.0000  2 Si 3.15
Ba 0.0000 0.0000 0.5000  2 Si 3.15
Si 0.0000 0.0000 0.0000  2 Fe 2.19

---

[6]
Entry from the Alexandria database: an optimized crystal structure of Ba2SrFeH (PBE-GGA).

Spin magnetization in μB per formula unit: 0.34
DOS(E_F) in states/eV per cell: 10.2
Calculated total energy in eV/atom: -2.850

a = 5.7399 Å, b = 4.4818 Å, c = 5.7399 Å
α = 90.00°, β = 90.00°, γ = 90.00°
With the nearest neighbours (Å) after each atom.
Atoms (fractional coordinates):
Ba 0.0000 0.0000 0.5000  2 H 2.87
Fe 0.0000 0.5000 0.0000  2 H 2.24
Ba 0.5000 0.0000 0.0000  2 H 2.87
Sr 0.5000 0.5000 0.5000  8 Ba 3.64, 4 Fe 4.06
H 0.0000 0.0000 0.0000  2 Fe 2.24

---

[7]
Entry from the Alexandria database: an optimized crystal structure of BaYFe2H (PBE-GGA).

Spin magnetization in μB per formula unit: 4.47
DOS(E_F) in states/eV per cell: 7.2
Calculated total energy in eV/atom: -4.960

a = 5.3786 Å, b = 4.2710 Å, c = 5.3786 Å
α = 90.00°, β = 90.00°, γ = 90.00°
With the nearest neighbours (Å) after each atom.
Atoms (fractional coordinates):
Ba 0.5000 0.5000 0.5000  8 Fe 3.43, 4 H 3.80
Fe 0.5000 0.0000 0.0000  2 Y 2.69
H 0.0000 0.5000 0.0000  2 Y 2.14
Fe 0.0000 0.0000 0.5000  2 Y 2.69
Y 0.0000 0.0000 0.0000  2 H 2.14

---

[8]
Entry from the Alexandria database: an optimized crystal structure of BaZn2FeH (PBE-GGA).

Spin magnetization in μB per formula unit: 0.00
DOS(E_F) in states/eV per cell: 8.5
Calculated total energy in eV/atom: -2.604

a = 5.2133 Å, b = 3.2968 Å, c = 5.2133 Å
α = 90.00°, β = 90.00°, γ = 90.00°
With the nearest neighbours (Å) after each atom.
Atoms (fractional coordinates):
Zn 0.0000 0.0000 0.5000  2 H 2.61
Ba 0.5000 0.5000 0.5000  8 Zn 3.08, 2 Ba 3.30
Zn 0.5000 0.0000 0.0000  2 H 2.61
Fe 0.0000 0.5000 0.0000  2 H 1.65
H 0.0000 0.0000 0.0000  2 Fe 1.65

---

[9]
Entry from the Alexandria database: an optimized crystal structure of BaHf2Fe2 (PBE-GGA).

Spin magnetization in μB per formula unit: 0.75
DOS(E_F) in states/eV per cell: 4.2
Formation enthalpy at 0 K in meV per atom: 461

a = 4.3988 Å, b = 4.3988 Å, c = 6.7064 Å
α = 70.86°, β = 70.86°, γ = 90.00°
With the nearest neighbours (Å) after each atom.
Atoms (fractional coordinates):
Fe 0.7500 0.2500 0.5000  4 Hf 2.48
Ba 0.0000 0.0000 0.0000  8 Hf 3.61, 8 Fe 3.70
Fe 0.2500 0.7500 0.5000  4 Hf 2.48
Hf 0.6537 0.6537 0.6927  4 Fe 2.48
Hf 0.3463 0.3463 0.3073  4 Fe 2.48

---

[10]
Entry from the Alexandria database: an optimized crystal structure of Ba2HfFe (PBE-GGA).

Spin magnetization in μB per formula unit: 0.00
DOS(E_F) in states/eV per cell: 9.5
Formation enthalpy at 0 K in meV per atom: 1334

a = 5.5216 Å, b = 5.5216 Å, c = 5.5216 Å
α = 60.00°, β = 60.00°, γ = 60.00°
With the nearest neighbours (Å) after each atom.
Atoms (fractional coordinates):
Hf 0.5000 0.5000 0.5000  8 Ba 3.38
Fe 0.0000 0.0000 0.0000  8 Ba 3.38
Ba 0.2500 0.2500 0.2500  4 Hf 3.38, 4 Fe 3.38
Ba 0.7500 0.7500 0.7500  4 Hf 3.38, 4 Fe 3.38

---

[11]
Entry from the Alexandria database: an optimized crystal structure of BaHfFe3 (PBE-GGA).

Spin magnetization in μB per formula unit: 6.64
DOS(E_F) in states/eV per cell: 7.2
Formation enthalpy at 0 K in meV per atom: 1010

a = 4.9523 Å, b = 4.9523 Å, c = 4.9523 Å
α = 90.00°, β = 90.00°, γ = 90.00°
With the nearest neighbours (Å) after each atom.
Atoms (fractional coordinates):
Fe 0.0000 0.0000 0.5000  2 Hf 2.48
Fe 0.5000 0.0000 0.0000  2 Hf 2.48
Hf 0.0000 0.0000 0.0000  6 Fe 2.48
Fe 0.0000 0.5000 0.0000  2 Hf 2.48
Ba 0.5000 0.5000 0.5000  12 Fe 3.50

---

[12]
Entry from the Alexandria database: an optimized crystal structure of Ba2Hf4Fe (PBE-GGA).

Spin magnetization in μB per formula unit: 0.00
DOS(E_F) in states/eV per cell: 10.5
Formation enthalpy at 0 K in meV per atom: 588

a = 5.0232 Å, b = 5.0232 Å, c = 9.8134 Å
α = 75.17°, β = 75.17°, γ = 90.00°
With the nearest neighbours (Å) after each atom.
Atoms (fractional coordinates):
Hf 0.5000 0.0000 0.0000  2 Fe 2.51
Ba 0.6583 0.6583 0.6835  9 Hf 3.61-4.01
Hf 0.1225 0.1225 0.7549  1 Fe 2.24
Hf 0.0000 0.5000 0.0000  2 Fe 2.51
Ba 0.3417 0.3417 0.3165  9 Hf 3.61-4.01
Hf 0.8775 0.8775 0.2451  1 Fe 2.24
Fe 0.0000 0.0000 0.0000  2 Hf 2.24

---

[13]
Entry from the Alexandria database: an optimized crystal structure of BaHf2Fe2 (PBE-GGA).

Spin magnetization in μB per formula unit: 1.48
DOS(E_F) in states/eV per cell: 15.1
Formation enthalpy at 0 K in meV per atom: 397

a = 8.1800 Å, b = 8.1800 Å, c = 3.0936 Å
α = 90.00°, β = 90.00°, γ = 90.00°
With the nearest neighbours (Å) after each atom.
Atoms (fractional coordinates):
Hf 0.3690 0.8690 0.0000  4 Fe 2.64
Ba 0.5000 0.5000 0.0000  2 Ba 3.09, 4 Hf 3.20
Fe 0.8696 0.3696 0.5000  4 Hf 2.64
Hf 0.8690 0.6310 0.0000  4 Fe 2.64
Fe 0.6304 0.8696 0.5000  4 Hf 2.64
Fe 0.3696 0.1304 0.5000  4 Hf 2.64
Fe 0.1304 0.6304 0.5000  4 Hf 2.64
Ba 0.0000 0.0000 0.0000  2 Ba 3.09, 4 Hf 3.20
Hf 0.6310 0.1310 0.0000  4 Fe 2.64
Hf 0.1310 0.3690 0.0000  4 Fe 2.64

---

[14]
Entry from the Alexandria database: an optimized crystal structure of BaHfFe3 (PBE-GGA).

Spin magnetization in μB per formula unit: 0.01
DOS(E_F) in states/eV per cell: 10.6
Formation enthalpy at 0 K in meV per atom: 2335

a = 4.6273 Å, b = 4.6273 Å, c = 4.6273 Å
α = 90.00°, β = 90.00°, γ = 90.00°
With the nearest neighbours (Å) after each atom.
Atoms (fractional coordinates):
Fe 0.0000 0.0000 0.5000  2 Ba 2.31
Ba 0.0000 0.0000 0.0000  6 Fe 2.31
Fe 0.5000 0.0000 0.0000  2 Ba 2.31
Hf 0.5000 0.5000 0.5000  12 Fe 3.27
Fe 0.0000 0.5000 0.0000  2 Ba 2.31

---

[15]
Entry from the Alexandria database: an optimized crystal structure of Ba2HfFe (PBE-GGA).

Spin magnetization in μB per formula unit: 0.00
DOS(E_F) in states/eV per cell: 17.1
Formation enthalpy at 0 K in meV per atom: 756

a = 12.1488 Å, b = 12.1488 Å, c = 8.8968 Å
α = 46.94°, β = 46.94°, γ = 90.00°
With the nearest neighbours (Å) after each atom.
Atoms (fractional coordinates):
Ba 0.3750 0.5522 0.7500  2 Fe 3.22
Ba 0.4478 0.1250 0.2500  2 Fe 3.22
Fe 0.2500 0.7500 0.5000  2 Hf 2.31
Hf 0.7500 0.2500 0.5000  2 Fe 2.31
Hf 0.0000 0.0000 0.0000  2 Fe 2.31
Fe 0.5000 0.5000 0.0000  2 Hf 2.31
Ba 0.3022 0.6250 0.2500  2 Fe 3.22
Ba 0.8750 0.6978 0.7500  2 Fe 3.22

---

[16]
Entry from the Alexandria database: an optimized crystal structure of Ba3HfFe (PBE-GGA).

Spin magnetization in μB per formula unit: 0.78
DOS(E_F) in states/eV per cell: 8.8
Formation enthalpy at 0 K in meV per atom: 1102

a = 5.7562 Å, b = 5.7562 Å, c = 5.7562 Å
α = 90.00°, β = 90.00°, γ = 90.00°
With the nearest neighbours (Å) after each atom.
Atoms (fractional coordinates):
Ba 0.0000 0.0000 0.5000  2 Fe 2.88
Fe 0.0000 0.0000 0.0000  6 Ba 2.88
Ba 0.0000 0.5000 0.0000  2 Fe 2.88
Hf 0.5000 0.5000 0.5000  12 Ba 4.07
Ba 0.5000 0.0000 0.0000  2 Fe 2.88

---

[17]
Entry from the Alexandria database: an optimized crystal structure of BaHf3Fe (PBE-GGA).

Spin magnetization in μB per formula unit: 0.00
DOS(E_F) in states/eV per cell: 8.7
Formation enthalpy at 0 K in meV per atom: 370

a = 5.0055 Å, b = 5.0055 Å, c = 5.0055 Å
α = 90.00°, β = 90.00°, γ = 90.00°
With the nearest neighbours (Å) after each atom.
Atoms (fractional coordinates):
Ba 0.5000 0.5000 0.5000  12 Hf 3.54
Fe 0.0000 0.0000 0.0000  6 Hf 2.50
Hf 0.0000 0.0000 0.5000  2 Fe 2.50
Hf 0.5000 0.0000 0.0000  2 Fe 2.50
Hf 0.0000 0.5000 0.0000  2 Fe 2.50

---

[18]
Entry from the Alexandria database: an optimized crystal structure of BaHfFe2 (PBE-GGA).

Spin magnetization in μB per formula unit: 0.00
DOS(E_F) in states/eV per cell: 18.6
Formation enthalpy at 0 K in meV per atom: 946

a = 4.8721 Å, b = 4.8721 Å, c = 9.1051 Å
α = 74.48°, β = 74.48°, γ = 90.00°
With the nearest neighbours (Å) after each atom.
Atoms (fractional coordinates):
Fe 0.8750 0.1252 0.7500  2 Hf 2.43, 2 Fe 2.44
Fe 0.8752 0.1250 0.2500  2 Hf 2.43, 2 Fe 2.44
Ba 0.5000 0.5000 0.0000  8 Fe 3.44, 4 Hf 3.45
Hf 0.7500 0.2500 0.5000  4 Fe 2.43
Fe 0.3750 0.1248 0.7500  2 Hf 2.43, 2 Fe 2.44
Ba 0.2500 0.7500 0.5000  8 Fe 3.44, 4 Hf 3.45
Hf 0.0000 0.0000 0.0000  4 Fe 2.43
Fe 0.8748 0.6250 0.2500  2 Hf 2.43, 2 Fe 2.44

---

[19]
Entry from the Alexandria database: an optimized crystal structure of BaHfFe2 (PBE-GGA).

Spin magnetization in μB per formula unit: 0.00
DOS(E_F) in states/eV per cell: 6.1
Formation enthalpy at 0 K in meV per atom: 934

a = 4.7546 Å, b = 4.7546 Å, c = 4.7546 Å
α = 60.00°, β = 60.00°, γ = 60.00°
With the nearest neighbours (Å) after each atom.
Atoms (fractional coordinates):
Ba 0.0000 0.0000 0.0000  8 Fe 2.91
Fe 0.7500 0.7500 0.7500  4 Hf 2.91, 4 Ba 2.91
Fe 0.2500 0.2500 0.2500  4 Ba 2.91, 4 Hf 2.91
Hf 0.5000 0.5000 0.5000  8 Fe 2.91

---

[20]
Entry from the Alexandria database: an optimized crystal structure of KBaHf2Fe (PBE-GGA).

Spin magnetization in μB per formula unit: 0.00
DOS(E_F) in states/eV per cell: 6.9
Formation enthalpy at 0 K in meV per atom: 651

a = 4.8980 Å, b = 6.4247 Å, c = 4.8980 Å
α = 90.00°, β = 90.00°, γ = 90.00°
With the nearest neighbours (Å) after each atom.
Atoms (fractional coordinates):
K 0.5000 0.5000 0.5000  4 Ba 3.46
Hf 0.5000 0.0000 0.0000  2 Fe 2.45
Ba 0.0000 0.5000 0.0000  2 Fe 3.21, 4 K 3.46
Fe 0.0000 0.0000 0.0000  4 Hf 2.45
Hf 0.0000 0.0000 0.5000  2 Fe 2.45